# 1
CoOsAu at its PBEsol-relaxed geometry, computed with SCAN.

Values from the calculation:
Fermi-level density of states ... 4.24 states/eV/cell
Energy above the lowest structure with this stoichiometry ... 0.0 meV/atom
V ... 13.85 Å³/atom
Energy of formation from the pure elements ... 16.0 kcal/mol of atoms

Lattice parameters (Å, degrees): 4.2466 4.2466 2.6604 90.00 90.00 120.00
Space group P-6m2 (No. 187)
Asymmetric unit:
Co: 0.0000 0.0000 0.0000 [1 per cell]
Os: 0.3333 0.6667 0.0000 [1 per cell]
Au: 0.6667 0.3333 0.5000 [1 per cell]

---

# 2
LiPb3 at its PBEsol-relaxed geometry, computed with SCAN.

Values from the calculation:
Fermi-level density of states ... 1.94 states/eV/cell
V ... 27.02 Å³/atom
Energy of formation from the pure elements ... -4.2 kcal/mol of atoms

Lattice parameters (Å, degrees): 4.764 4.764 4.764 90.00 90.00 90.00
Space group Pm-3m (No. 221)
Asymmetric unit:
Li: 0.000 0.000 0.000 [1 per cell]
Pb: 0.000 0.500 0.500 [3 per cell]

---

# 3
Dy5Ru2 at its PBEsol-relaxed geometry, computed with SCAN.

Values from the calculation:
Fermi-level density of states ... 17.95 states/eV/cell
V ... 24.41 Å³/atom
Energy of formation from the pure elements ... -10.2 kcal/mol of atoms

Lattice parameters (Å, degrees): 15.461 6.236 7.146 90.00 97.30 90.00
Space group C2/c (No. 15)
Asymmetric unit:
Dy: 0.000 0.081 0.250 [4 per cell]
Dy: 0.093 0.385 0.916 [8 per cell]
Dy: 0.217 0.077 0.312 [8 per cell]
Ru: 0.111 0.213 0.575 [8 per cell]

---

# 4
OsW2 at its PBEsol-relaxed geometry, computed with SCAN.

Values from the calculation:
Fermi-level density of states ... 19.57 states/eV/cell
Energy above the lowest structure with this stoichiometry ... 0.0 meV/atom
V ... 15.24 Å³/atom
Energy of formation from the pure elements ... -0.3 kcal/mol of atoms

Lattice parameters (Å, degrees): 9.608 9.608 4.951 90.00 90.00 90.00
Space group P4_2/mnm (No. 136)
Asymmetric unit:
Os: 0.000 0.000 0.000 [2 per cell]
Os: 0.069 0.264 0.000 [8 per cell]
W: 0.038 0.369 0.500 [8 per cell]
W: 0.104 0.104 0.500 [4 per cell]
W: 0.180 0.820 0.251 [8 per cell]